Entry from the Alexandria database: a relaxed structure of BeTc (GGA-PBE).

Calculated density   7.93 g cm⁻³
Space group   No. 194
Relative energy among the computed polymorphs   30.5 kJ per mole of atoms
Energy of formation   78 meV/atom

```
BeTc
1.0
1.587 -2.748 0.000
1.587 2.748 0.000
0.000 0.000 10.282
Be Tc
4 4
direct
0.667 0.333 0.250
0.333 0.667 0.750
0.000 0.000 0.750
0.000 0.000 0.250
0.333 0.667 0.101
0.667 0.333 0.899
0.333 0.667 0.399
0.667 0.333 0.601
```